1.
{"formula": "TaCd2Te", "functional": "PBE", "state": "relaxed", "sg": "Imm2", "raw_formation_energy_mev_per_atom": 260, "lattice": [[-2.627, 4.112, -5.830], [2.020, 0.833, -7.282], [-2.372, -3.639, 6.240]], "species": ["Te", "Ta", "Cd", "Cd"], "fractional_positions": [[0.318, 0.818, 0.500], [0.489, 0.489, 0.000], [0.669, 0.169, 0.500], [0.024, 0.024, 0.000]]}

2.
{"formula": "TiGaC3", "functional": "PBE", "state": "relaxed", "sg": "Pm-3m", "delta_e_f_ev_per_atom": 2.1916, "relative_energy_mev_per_atom": 350, "lattice": [[3.895, 0.000, 0.000], [0.000, 3.895, 0.000], [0.000, 0.000, 3.895]], "species": ["C", "C", "Ga", "C", "Ti"], "fractional_positions": [[0.000, 0.500, 0.000], [0.500, 0.000, 0.000], [0.000, 0.000, 0.000], [0.000, 0.000, 0.500], [0.500, 0.500, 0.500]]}

3.
{"formula": "Hg2OsPb", "functional": "PBE", "state": "relaxed", "sg": "Immm", "delta_e_f_ev_per_atom": 0.6486, "lattice": [[7.141, -0.028, 0.037], [6.477, 3.006, 0.037], [1.438, 0.315, 4.317]], "species": ["Os", "Hg", "Pb", "Hg"], "fractional_positions": [[0.750, 0.750, 0.750], [0.439, 0.439, 0.560], [0.250, 0.250, 0.250], [0.061, 0.061, 0.940]]}

4.
{"formula": "CdPb2", "functional": "PBE", "state": "relaxed", "sg": "P-62m", "delta_e_f_ev_per_atom": 0.0471, "relative_energy_mev_per_atom": 13, "lattice": [[8.201, 0.000, 0.000], [-4.100, 7.102, 0.000], [0.000, 0.000, 4.557]], "species": ["Pb", "Cd", "Cd", "Pb", "Pb", "Pb", "Pb", "Pb", "Cd"], "fractional_positions": [[0.000, 0.265, 0.000], [0.333, 0.667, 0.000], [0.000, 0.000, 0.500], [0.398, 0.398, 0.500], [0.265, 0.000, 0.000], [0.735, 0.735, 0.000], [0.000, 0.602, 0.500], [0.602, 0.000, 0.500], [0.667, 0.333, 0.000]]}

5.
{"formula": "U2ClF7", "functional": "PBE", "state": "relaxed", "sg": "Cmmm", "raw_formation_energy_mev_per_atom": -3211, "lattice": [[-1.945, 0.668, 3.909], [2.133, -5.543, 2.008], [4.682, 3.817, 1.678]], "species": ["F", "U", "U", "F", "Cl", "F", "F", "F", "F", "F"], "fractional_positions": [[0.500, 0.359, 0.094], [0.500, 0.264, 0.736], [0.500, 0.736, 0.264], [0.500, 0.500, 0.500], [0.000, 0.000, 0.000], [0.500, 0.094, 0.359], [0.500, 0.906, 0.641], [0.500, 0.641, 0.906], [0.000, 0.686, 0.314], [0.000, 0.314, 0.686]]}

6.
{"formula": "Ac3Cd2SnPd8", "functional": "PBE", "state": "relaxed", "sg": "P-3m1", "delta_e_f_ev_per_atom": -0.5755, "lattice": [[5.731, 0.000, 0.000], [-2.866, 4.963, 0.000], [0.000, 0.000, 10.861]], "species": ["Pd", "Ac", "Sn", "Pd", "Ac", "Pd", "Cd", "Pd", "Ac", "Cd", "Pd", "Pd", "Pd", "Pd"], "fractional_positions": [[0.667, 0.333, 0.148], [0.667, 0.333, 0.410], [0.000, 0.000, 0.500], [0.168, 0.832, 0.297], [0.000, 0.000, 0.000], [0.333, 0.667, 0.852], [0.667, 0.333, 0.904], [0.168, 0.335, 0.297], [0.333, 0.667, 0.590], [0.333, 0.667, 0.096], [0.832, 0.665, 0.703], [0.665, 0.832, 0.297], [0.335, 0.168, 0.703], [0.832, 0.168, 0.703]]}